No. 1
An optimized crystal structure of Tb4Y4Er5. Source: the Alexandria database, functional GGA-PBE.

Properties
Its crystal system is tetragonal. Its energy of formation from the pure elements is 21 meV per atom.

a = 12.781 Å, b = 12.781 Å, c = 5.000 Å
α = 90.00°, β = 90.00°, γ = 90.00°
Space group I4/m (No. 87)
Inequivalent atoms, fractional coordinates:
Tb1 0.153 0.770 0.000 x8
Y1 0.078 0.384 0.000 x8
Er1 0.000 0.000 0.000 x2
Er2 0.039 0.191 0.500 x8

***

No. 2
An optimized crystal structure of Be3Sb. Source: the Alexandria database, functional GGA-PBE.

Properties
Its crystal system is hexagonal. The value obtained for the energy above the most stable polymorph in this dataset is 0.408 eV/atom. As for the uncorrected formation energy: 0.799 eV per atom.

a = 2.9638 Å, b = 2.9638 Å, c = 7.7348 Å
α = 90.00°, β = 90.00°, γ = 120.00°
Space group P-6m2 (No. 187)
Inequivalent atoms, fractional coordinates:
Be1 0.0000 0.0000 0.0000 x1
Be2 0.3333 0.6667 0.1860 x2
Sb1 0.0000 0.0000 0.5000 x1

***

No. 3
An optimized crystal structure of Dy2TmIn3S6. Source: the Alexandria database, functional GGA-PBE.

Properties
Its crystal system is monoclinic. As for the uncorrected formation energy: -1.404 eV per atom.

a = 6.886 Å, b = 11.924 Å, c = 7.856 Å
α = 90.00°, β = 107.00°, γ = 90.00°
Space group C2/m (No. 12)
Inequivalent atoms, fractional coordinates:
Dy1 0.000 0.167 0.000 x4
Tm1 0.000 0.500 0.000 x2
In1 0.000 0.000 0.500 x2
In2 0.000 0.333 0.500 x4
S1 0.232 0.335 0.200 x8
S2 0.237 0.000 0.201 x4

***

No. 4
An optimized crystal structure of DyTmPaO6. Source: the Alexandria database, functional GGA-PBE.

Properties
Its crystal system is trigonal. As for the uncorrected formation energy: -3.250 eV per atom.

a = 5.7422 Å, b = 5.7422 Å, c = 4.6743 Å
α = 90.00°, β = 90.00°, γ = 120.00°
Space group P312 (No. 149)
Inequivalent atoms, fractional coordinates:
Dy1 0.0000 0.0000 0.0000 x1
Tm1 0.3333 0.6667 0.0000 x1
Pa1 0.6667 0.3333 0.5000 x1
O1 0.3481 0.0099 0.2441 x6

***

No. 5
An optimized crystal structure of BC5. Source: the Alexandria database, functional GGA-PBE.

Properties
Its crystal system is triclinic. The value obtained for the energy above the most stable polymorph in this dataset is 0.313 eV/atom. Its energy of formation from the pure elements is 522 meV per atom.

a = 3.875 Å, b = 4.575 Å, c = 7.505 Å
α = 89.05°, β = 78.06°, γ = 89.35°
Space group P-1 (No. 2)
Inequivalent atoms, fractional coordinates:
B1 0.178 0.349 0.005 x2
C1 0.002 0.162 0.500 x2
C2 0.206 0.684 0.993 x2
C3 0.305 0.660 0.500 x2
C4 0.308 0.338 0.500 x2
C5 0.495 0.846 0.993 x2

***

No. 6
An optimized crystal structure of Ru2RhW. Source: the Alexandria database, functional GGA-PBE.

Properties
Its crystal system is monoclinic. The value obtained for the energy above the most stable polymorph in this dataset is 0.090 eV/atom. Its energy of formation from the pure elements is -27 meV per atom.

a = 4.710 Å, b = 2.751 Å, c = 4.744 Å
α = 90.00°, β = 109.35°, γ = 90.00°
Space group P2/m (No. 10)
Inequivalent atoms, fractional coordinates:
Ru1 0.000 0.000 0.000 x1
Ru2 0.000 0.500 0.500 x1
Rh1 0.500 0.000 0.500 x1
W1 0.500 0.500 0.000 x1

***

No. 7
An optimized crystal structure of LaTb3S4. Source: the Alexandria database, functional GGA-PBE.

Properties
Its crystal system is orthorhombic. The value obtained for the energy above the most stable polymorph in this dataset is 0.000 eV/atom. As for the uncorrected formation energy: -2.040 eV per atom.

a = 8.037 Å, b = 11.283 Å, c = 3.950 Å
α = 90.00°, β = 90.00°, γ = 90.00°
Space group Cmmm (No. 65)
Inequivalent atoms, fractional coordinates:
La1 0.000 0.000 0.000 x2
Tb1 0.000 0.500 0.000 x2
Tb2 0.250 0.250 0.500 x4
S1 0.000 0.256 0.000 x4
S2 0.238 0.500 0.500 x4

***

No. 8
An optimized crystal structure of BeCrTe2. Source: the Alexandria database, functional GGA-PBE.

Properties
Its crystal system is monoclinic. As for the uncorrected formation energy: 0.026 eV per atom.

a = 15.590 Å, b = 3.813 Å, c = 3.670 Å
α = 90.00°, β = 103.50°, γ = 90.00°
Space group Cm (No. 8)
Inequivalent atoms, fractional coordinates:
Be1 0.000 0.000 0.000 x2
Cr1 0.060 0.500 0.556 x2
Te1 0.152 0.000 0.146 x2
Te2 0.413 0.000 0.909 x2

***

No. 9
An optimized crystal structure of Cd2PdO2. Source: the Alexandria database, functional GGA-PBE.

Properties
Its crystal system is tetragonal. The value obtained for the energy above the most stable polymorph in this dataset is 0.115 eV/atom. As for the uncorrected formation energy: -0.441 eV per atom.

a = 6.596 Å, b = 6.596 Å, c = 3.173 Å
α = 90.00°, β = 90.00°, γ = 90.00°
Space group P4/mbm (No. 127)
Inequivalent atoms, fractional coordinates:
Cd1 0.157 0.343 0.000 x4
Pd1 0.000 0.000 0.500 x2
O1 0.153 0.653 0.500 x4

***

No. 10
An optimized crystal structure of Pm3HgB. Source: the Alexandria database, functional GGA-PBE.

Properties
Its crystal system is cubic. Its energy of formation from the pure elements is -79 meV per atom.

a = 5.167 Å, b = 5.167 Å, c = 5.167 Å
α = 90.00°, β = 90.00°, γ = 90.00°
Space group Pm-3m (No. 221)
Inequivalent atoms, fractional coordinates:
Pm1 0.000 0.000 0.500 x3
Hg1 0.500 0.500 0.500 x1
B1 0.000 0.000 0.000 x1

***

No. 11
An optimized crystal structure of Pm3Tm8Th. Source: the Alexandria database, functional GGA-PBE.

Properties
Its crystal system is orthorhombic. Its energy of formation from the pure elements is 22 meV per atom.

a = 10.783 Å, b = 11.297 Å, c = 6.240 Å
α = 90.00°, β = 90.00°, γ = 90.00°
Space group Imm2 (No. 44)
Inequivalent atoms, fractional coordinates:
Pm1 0.000 0.000 0.000 x2
Pm2 0.000 0.250 0.336 x4
Tm1 0.165 0.251 0.841 x8
Tm2 0.167 0.500 0.510 x4
Tm3 0.171 0.000 0.508 x4
Th1 0.000 0.500 0.000 x2

***

No. 12
An optimized crystal structure of LaI. Source: the Alexandria database, functional GGA-PBE.

Properties
Its crystal system is orthorhombic. As for the uncorrected formation energy: -0.933 eV per atom.

a = 4.994 Å, b = 19.414 Å, c = 4.156 Å
α = 90.00°, β = 90.00°, γ = 90.00°
Space group Pmmn (No. 59, origin choice 2)
Inequivalent atoms, fractional coordinates:
La1 0.250 0.083 0.247 x4
La2 0.250 0.750 0.254 x2
I1 0.250 0.250 0.246 x2
I2 0.250 0.583 0.253 x4

***

No. 13
An optimized crystal structure of Cs3CuTe2. Source: the Alexandria database, functional GGA-PBE.

Properties
Its crystal system is orthorhombic. The value obtained for the energy above the most stable polymorph in this dataset is 0.023 eV/atom. As for the uncorrected formation energy: -0.731 eV per atom.

a = 8.939 Å, b = 14.182 Å, c = 10.570 Å
α = 90.00°, β = 90.00°, γ = 90.00°
Space group Ibam (No. 72)
Inequivalent atoms, fractional coordinates:
Cs1 0.000 0.000 0.250 x4
Cs2 0.000 0.301 0.250 x8
Cu1 0.000 0.500 0.000 x4
Te1 0.234 0.406 0.000 x8

***

No. 14
An optimized crystal structure of KPa2CoS8. Source: the Alexandria database, functional GGA-PBE.

Properties
Its crystal system is trigonal. As for the uncorrected formation energy: -1.009 eV per atom.

a = 5.8236 Å, b = 5.8236 Å, c = 9.2269 Å
α = 90.00°, β = 90.00°, γ = 120.00°
Space group P-3m1 (No. 164)
Inequivalent atoms, fractional coordinates:
K1 0.0000 0.0000 0.0000 x1
Pa1 0.3333 0.6667 0.3774 x2
Co1 0.0000 0.0000 0.5000 x1
S1 0.1722 0.3444 0.6500 x6
S2 0.3333 0.6667 0.1151 x2

***

No. 15
An optimized crystal structure of YNiHPd2. Source: the Alexandria database, functional GGA-PBE.

Properties
Its crystal system is tetragonal. As for the total energy: -28.53 eV/cell.

a = 4.118 Å, b = 4.118 Å, c = 4.051 Å
α = 90.00°, β = 90.00°, γ = 90.00°
Space group P4/mmm (No. 123)
Inequivalent atoms, fractional coordinates:
Y1 0.000 0.000 0.000 x1
Ni1 0.500 0.500 0.000 x1
H1 0.500 0.500 0.500 x1
Pd1 0.000 0.500 0.500 x2

***

No. 16
An optimized crystal structure of SrLa2Hf. Source: the Alexandria database, functional GGA-PBE.

Properties
Its crystal system is tetragonal. The value obtained for the energy above the most stable polymorph in this dataset is 0.257 eV/atom. Its energy of formation from the pure elements is 667 meV per atom.

a = 9.114 Å, b = 9.114 Å, c = 6.934 Å
α = 90.00°, β = 90.00°, γ = 90.00°
Space group I-42d (No. 122)
Inequivalent atoms, fractional coordinates:
Sr1 0.000 0.000 0.000 x4
La1 0.206 0.250 0.625 x8
Hf1 0.000 0.000 0.500 x4

***

No. 17
An optimized crystal structure of Nb6TcMo2. Source: the Alexandria database, functional GGA-PBE.

Properties
Its crystal system is monoclinic. Its energy of formation from the pure elements is 542 meV per atom.

a = 14.048 Å, b = 6.272 Å, c = 4.338 Å
α = 90.00°, β = 107.91°, γ = 90.00°
Space group C2/m (No. 12)
Inequivalent atoms, fractional coordinates:
Nb1 0.000 0.248 0.000 x4
Nb2 0.166 0.248 0.666 x8
Tc1 0.000 0.000 0.500 x2
Mo1 0.166 0.500 0.166 x4

***

No. 18
An optimized crystal structure of GePPbCl2. Source: the Alexandria database, functional GGA-PBE.

Properties
Its crystal system is tetragonal. The value obtained for the energy above the most stable polymorph in this dataset is 0.000 eV/atom. As for the uncorrected formation energy: -0.087 eV per atom.

a = 5.106 Å, b = 5.106 Å, c = 5.279 Å
α = 90.00°, β = 90.00°, γ = 90.00°
Space group P4/mmm (No. 123)
Inequivalent atoms, fractional coordinates:
Ge1 0.000 0.000 0.000 x1
P1 0.000 0.000 0.500 x1
Pb1 0.500 0.500 0.500 x1
Cl1 0.000 0.500 0.000 x2

***

No. 19
An optimized crystal structure of Y2CdHg. Source: the Alexandria database, functional GGA-PBE.

Properties
Its crystal system is cubic. The value obtained for the energy above the most stable polymorph in this dataset is 0.004 eV/atom. Its energy of formation from the pure elements is -428 meV per atom.

a = 7.478 Å, b = 7.478 Å, c = 7.478 Å
α = 90.00°, β = 90.00°, γ = 90.00°
Space group Fm-3m (No. 225)
Inequivalent atoms, fractional coordinates:
Y1 0.250 0.250 0.250 x8
Cd1 0.000 0.000 0.000 x4
Hg1 0.000 0.000 0.500 x4

***

No. 20
An optimized crystal structure of Nb2CuTcH. Source: the Alexandria database, functional GGA-PBE.

Properties
Its crystal system is tetragonal. The value obtained for the energy above the most stable polymorph in this dataset is 0.000 eV/atom.

a = 4.237 Å, b = 4.237 Å, c = 3.631 Å
α = 90.00°, β = 90.00°, γ = 90.00°
Space group P4/mmm (No. 123)
Inequivalent atoms, fractional coordinates:
Nb1 0.000 0.500 0.000 x2
Cu1 0.000 0.000 0.500 x1
Tc1 0.500 0.500 0.500 x1
H1 0.000 0.000 0.000 x1

***

No. 21
An optimized crystal structure of Tb8Er3Tm4. Source: the Alexandria database, functional GGA-PBE.

Properties
Its crystal system is monoclinic. Its energy of formation from the pure elements is 409 meV per atom.

a = 13.239 Å, b = 12.669 Å, c = 6.682 Å
α = 90.00°, β = 119.81°, γ = 90.00°
Space group C2/m (No. 12)
Inequivalent atoms, fractional coordinates:
Tb1 0.000 0.144 0.000 x4
Tb2 0.000 0.250 0.500 x4
Tb3 0.229 0.000 0.438 x4
Tb4 0.239 0.000 0.970 x4
Er1 0.000 0.000 0.500 x2
Er2 0.250 0.250 0.500 x4
Tm1 0.000 0.500 0.000 x2
Tm2 0.000 0.500 0.500 x2
Tm3 0.250 0.250 0.000 x4

***

No. 22
An optimized crystal structure of ScSnHgI6. Source: the Alexandria database, functional GGA-PBE.

Properties
Its crystal system is trigonal. As for the uncorrected formation energy: -0.687 eV per atom.

a = 7.5268 Å, b = 7.5268 Å, c = 9.1842 Å
α = 90.00°, β = 90.00°, γ = 120.00°
Space group P312 (No. 149)
Inequivalent atoms, fractional coordinates:
Sc1 0.0000 0.0000 0.0000 x1
Sn1 0.6667 0.3333 0.0000 x1
Hg1 0.3333 0.6667 0.5000 x1
I1 0.3187 0.0149 0.1872 x6

***

No. 23
An optimized crystal structure of CdHg2Se. Source: the Alexandria database, functional GGA-PBE.

Properties
Its crystal system is monoclinic. As for the uncorrected formation energy: 0.052 eV per atom.

a = 2.997 Å, b = 6.321 Å, c = 5.573 Å
α = 90.00°, β = 96.33°, γ = 90.00°
Space group P2/m (No. 10)
Inequivalent atoms, fractional coordinates:
Cd1 0.000 0.000 0.000 x1
Hg1 0.309 0.500 0.741 x2
Se1 0.000 0.000 0.500 x1

***

No. 24
An optimized crystal structure of SmHfC. Source: the Alexandria database, functional GGA-PBE.

Properties
Its crystal system is triclinic. Its energy of formation from the pure elements is -174 meV per atom.

a = 5.733 Å, b = 6.810 Å, c = 9.078 Å
α = 81.78°, β = 87.56°, γ = 86.82°
Space group P-1 (No. 2)
Inequivalent atoms, fractional coordinates:
Sm1 0.234 0.109 0.042 x2
Sm2 0.244 0.271 0.373 x2
Sm3 0.253 0.448 0.723 x2
Hf1 0.218 0.767 0.399 x2
Hf2 0.260 0.607 0.064 x2
Hf3 0.269 0.943 0.715 x2
C1 0.000 0.500 0.500 x1
C2 0.011 0.844 0.196 x2
C3 0.477 0.682 0.861 x2
C4 0.500 0.000 0.500 x1

***

Number 1: volume 408.4 Å³/f.u.. Number 2: volume 58.8 Å³/f.u.. Number 3: volume 308.4 Å³/f.u.. Number 4: volume 133.5 Å³/f.u.. Number 5: volume 65.1 Å³/f.u.. Number 6: volume 58.0 Å³/f.u.. Number 7: volume 179.1 Å³/f.u.. Number 8: volume 106.1 Å³/f.u.. Number 9: volume 69.0 Å³/f.u.. Number 10: volume 138.0 Å³/f.u.. Number 11: volume 380.0 Å³/f.u.. Number 12: volume 67.2 Å³/f.u.. Number 13: volume 335.0 Å³/f.u.. Number 14: volume 271.0 Å³/f.u.. Number 15: volume 68.7 Å³/f.u.. Number 16: volume 144.0 Å³/f.u.. Number 17: volume 181.8 Å³/f.u.. Number 18: volume 137.7 Å³/f.u.. Number 19: volume 104.6 Å³/f.u.. Number 20: volume 65.2 Å³/f.u.. Number 21: volume 486.2 Å³/f.u.. Number 22: volume 450.6 Å³/f.u.. Number 23: volume 104.9 Å³/f.u.. Number 24: volume 58.3 Å³/f.u..